Record 1
TlSi2Te6As: relaxed, GGA-PBE.

For the total energy, the calculation gives -3.66 eV/atom. The mass density is 5.2 g/cm3. For the total magnetic moment, the calculation gives 0.00 μB per cell. The calculation puts the uncorrected formation energy at 0.009 eV/atom.

The structure belongs to space group C2/c (No. 15); the cell edges are 16.154, 12.317 and 7.736 Å and the angles 90.00°, 114.75° and 90.00°. The inequivalent atoms are Tl at (0.000, 0.204, 0.250), Si at (0.248, 0.389, 0.889), Te at (0.093, 0.404, 0.604), Te at (0.167, 0.290, 0.111), Te at (0.185, 0.046, 0.382) and As at (0.000, 0.281, 0.750).

Record 2
Tl2SiTe4As: relaxed, GGA-PBE.

For the total energy, the calculation gives -3.47 eV/atom. The mass density is 7.1 g/cm3. For the total magnetic moment, the calculation gives 0.00 μB per cell. The calculation puts the uncorrected formation energy at -0.045 eV/atom.

The structure belongs to space group Imma (No. 74); the cell edges are 8.739, 8.803 and 12.390 Å and the angles 90.00°, 90.00° and 90.00°. The inequivalent atoms are Tl at (0.000, 0.000, 0.000), Tl at (0.250, 0.250, 0.250), Si at (0.250, 0.250, 0.750), Te at (0.000, 0.032, 0.738), Te at (0.225, 0.250, 0.517) and As at (0.000, 0.000, 0.500).

Record 3
Tm8Si3Te4As: relaxed, GGA-PBE.

For the total energy, the calculation gives -5.49 eV/atom. The mass density is 8.0 g/cm3. For the total magnetic moment, the calculation gives 0.00 μB per cell. The calculation puts the uncorrected formation energy at -1.166 eV/atom.

The structure belongs to space group R-3m (No. 166, hexagonal axes); the cell edges are 8.3338, 8.3338 and 20.9639 Å and the angles 90.00°, 90.00° and 120.00°. The inequivalent atoms are Tm at (0.0000, 0.0000, 0.2391), Tm at (0.0046, 0.5023, 0.7613), Si at (0.0000, 0.5000, 0.5000), Te at (0.0000, 0.0000, 0.0000), Te at (0.0000, 0.5000, 0.0000) and As at (0.0000, 0.0000, 0.5000).

Record 4
Tm6SiTe3As2: relaxed, GGA-PBE.

For the total energy, the calculation gives -5.57 eV/atom. The mass density is 8.4 g/cm3. For the total magnetic moment, the calculation gives 0.00 μB per cell. The calculation puts the uncorrected formation energy at -1.320 eV/atom.

The structure belongs to space group C2/m (No. 12); the cell edges are 18.414, 4.153 and 8.467 Å and the angles 90.00°, 104.80° and 90.00°. The inequivalent atoms are Tm at (0.006, 0.000, 0.227), Tm at (0.156, 0.500, 0.097), Tm at (0.173, 0.500, 0.565), Si at (0.000, 0.500, 0.000), Te at (0.000, 0.500, 0.500), Te at (0.169, 0.000, 0.833) and As at (0.167, 0.000, 0.334).

Record 5
Tm8SiTe4As3: relaxed, GGA-PBE.

For the total energy, the calculation gives -5.58 eV/atom. The mass density is 8.4 g/cm3. For the total magnetic moment, the calculation gives 0.00 μB per cell. The calculation puts the uncorrected formation energy at -1.351 eV/atom.

The structure belongs to space group R-3m (No. 166, hexagonal axes); the cell edges are 8.3063, 8.3063 and 20.9311 Å and the angles 90.00°, 90.00° and 120.00°. The inequivalent atoms are Tm at (0.0000, 0.0000, 0.2390), Tm at (0.0052, 0.5026, 0.2388), Si at (0.0000, 0.0000, 0.5000), Te at (0.0000, 0.0000, 0.0000), Te at (0.0000, 0.5000, 0.0000) and As at (0.0000, 0.5000, 0.5000).

Record 6
Y6SiTe3As2: relaxed, GGA-PBE.

For the total energy, the calculation gives -6.65 eV/atom. The mass density is 5.6 g/cm3. For the total magnetic moment, the calculation gives 0.00 μB per cell. The calculation puts the uncorrected formation energy at -1.402 eV/atom.

The structure belongs to space group C2/m (No. 12); the cell edges are 18.687, 4.212 and 8.596 Å and the angles 90.00°, 104.88° and 90.00°. The inequivalent atoms are Y at (0.005, 0.000, 0.229), Y at (0.157, 0.500, 0.097), Y at (0.173, 0.500, 0.566), Si at (0.000, 0.500, 0.000), Te at (0.000, 0.500, 0.500), Te at (0.168, 0.000, 0.833) and As at (0.167, 0.000, 0.334).